Here is a geometry-optimized GdTm2Al3Ni3 structure from the Open Quantum Materials Database. Energies are from PBE.

Structure (POSCAR):
```
GdTm2Al3Ni3
1.0
-2.3543 0.0160 -3.1547
-1.7366 -6.5210 1.2630
-3.6557 5.1171 2.7541
Al Gd Ni Tm
3 1 3 2
Cartesian
-3.7711 -5.2959 0.3316
-5.3004 -1.0655 1.4943
-5.2347 3.5802 1.4688
-2.2502 -0.5858 1.6763
-3.5550 -2.6758 0.1836
-4.2079 1.2838 0.6909
-5.3655 -1.3969 3.9971
-1.0201 -3.8150 0.7420
-2.1425 2.9916 1.6141
```

Computed properties:
- Energy: -47.09 eV for the cell shown
- Density: 7770 kg/m3
- Total magnetization: 0.001 μB/atom